(1)
Density functional theory data (GGA-PBE) for a geometry-optimized SiHgOs2 structure.

```
SiHgOs2
1.0
4.409 0.000 0.000
0.000 2.879 0.000
0.000 0.000 10.645
Si Hg Os
2 2 4
Direct
0.000 0.000 0.000
0.000 0.500 0.500
0.500 0.000 0.146
0.500 0.500 0.646
0.000 0.000 0.319
0.000 0.500 0.819
0.500 0.000 0.883
0.500 0.500 0.383
```

Summary:
- formation energy from raw total energies (kJ/mol of atoms) = 49.44
- calculated volume (Å³/f.u.) = 67.6
- energy relative to the lowest polymorph listed for this composition (kJ/mol of formula units) = 98
- electronic total energy (eV/atom) = -6.534
- density of states at the Fermi level (states/eV per cell) = 7.8


(2)
Density functional theory data (GGA-PBE) for a geometry-optimized SrZn4Si2 structure.

```
SrZn4Si2
1.0
5.510 0.000 0.000
0.000 5.510 0.000
0.000 0.000 13.554
Sr Zn Si
2 8 4
Direct
0.000 0.000 0.000
0.500 0.500 0.500
0.000 0.000 0.231
0.000 0.000 0.769
0.000 0.500 0.000
0.000 0.500 0.500
0.500 0.000 0.000
0.500 0.000 0.500
0.500 0.500 0.269
0.500 0.500 0.731
0.000 0.000 0.414
0.000 0.000 0.586
0.500 0.500 0.086
0.500 0.500 0.914
```

Summary:
- formation energy from raw total energies (kJ/mol of atoms) = 72.66
- calculated volume (Å³/f.u.) = 205.8
- energy relative to the lowest polymorph listed for this composition (kJ/mol of formula units) = 624
- electronic total energy (eV/atom) = -1.765
- density of states at the Fermi level (states/eV per cell) = 6.1